# 1
BaAl5AgPt after structural relaxation. Source: the Open Quantum Materials Database, functional GGA-PBE.

```
8
Lattice="-2.123 3.711 5.165 2.123 -3.711 5.165 2.123 3.711 -5.165" Properties=species:S:1:pos:R:3 pbc="T T T"
Ba 0.000 0.000 0.000
Al 2.123 2.370 -1.590
Al 2.123 2.269 1.541
Al 0.000 3.711 0.012
Al 0.000 1.341 3.575
Al 0.000 1.442 6.706
Ag 0.000 3.711 2.501
Pt 2.123 0.000 2.764
```

Properties
The calculation puts the density at 5.868 g cm⁻³. The value obtained for the electronic total energy is -4.1681 eV per atom.

=====

# 2
BaAlAgTe3 after structural relaxation. Source: the Open Quantum Materials Database, functional GGA-PBE.

```
12
Lattice="8.739 0.000 0.000 0.000 4.403 0.000 -2.683 0.000 9.566" Properties=species:S:1:pos:R:3 pbc="T T T"
Ba 1.094 1.101 2.570
Ba 4.963 3.302 6.996
Al 0.572 3.302 8.186
Al 5.484 1.101 1.380
Ag -0.999 1.101 5.604
Ag 7.056 3.302 3.962
Te -1.329 1.101 8.400
Te 0.855 3.302 5.388
Te 3.540 3.302 1.335
Te 2.517 1.101 8.231
Te 5.201 1.101 4.178
Te 7.386 3.302 1.166
```

Properties
The calculation puts the density at 5.910 g cm⁻³. The value obtained for the electronic total energy is -3.7279 eV per atom.